Entry 1:
Compound: BaCu2Au2
Source: Alexandria via LeMat-Bulk
Functional: PBE
Structure: optimized geometry

Geometry as CIF:
```
data_BaCu2Au2
_space_group_name_H-M_alt 'I 4/m m m'
_space_group_IT_number 139
_space_group_name_Hall '-I 4 2'
_cell_length_a 4.647
_cell_length_b 4.647
_cell_length_c 10.245
_cell_angle_alpha 90.00
_cell_angle_beta 90.00
_cell_angle_gamma 90.00
loop_
_atom_site_label
_atom_site_fract_x
_atom_site_fract_y
_atom_site_fract_z
Ba1 0.000 0.000 0.000
Cu1 0.000 0.000 0.379
Au1 0.000 0.500 0.250
```

Computed properties:
- Formation energy: -268 meV per atom
- Total magnetization: 0.00 μB per atom
- Final energy: -3.602 eV per atom
- DOS(E_F): 2.5 states/eV/cell
- Excess energy over the best structure of this formula in the dataset: 17 meV per atom



Entry 2:
Compound: Ba2CuAu
Source: Alexandria via LeMat-Bulk
Functional: PBE
Structure: optimized geometry

Geometry as CIF:
```
data_Ba2CuAu
_space_group_name_H-M_alt 'R 3 m'
_space_group_IT_number 160
_space_group_name_Hall 'R 3 -2"'
_cell_length_a 4.6517
_cell_length_b 4.6517
_cell_length_c 24.8479
_cell_angle_alpha 90.00
_cell_angle_beta 90.00
_cell_angle_gamma 120.00
loop_
_atom_site_label
_atom_site_fract_x
_atom_site_fract_y
_atom_site_fract_z
Ba1 0.0000 0.0000 0.0000
Ba2 0.0000 0.0000 0.1683
Cu1 0.0000 0.0000 0.7510
Au1 0.0000 0.0000 0.4173
```

Computed properties:
- Formation energy: -382 meV per atom
- Total magnetization: 0.00 μB per atom
- Final energy: -3.187 eV per atom
- DOS(E_F): 5.2 states/eV/cell
- Excess energy over the best structure of this formula in the dataset: 0 meV per atom



Entry 3:
Compound: Ba8Cu2Au
Source: Alexandria via LeMat-Bulk
Functional: PBE
Structure: optimized geometry

Geometry as CIF:
```
data_Ba8Cu2Au
_space_group_name_H-M_alt 'P -3'
_space_group_IT_number 147
_cell_length_a 10.0220
_cell_length_b 10.0220
_cell_length_c 7.0359
_cell_angle_alpha 90.00
_cell_angle_beta 90.00
_cell_angle_gamma 120.00
loop_
_space_group_symop_operation_xyz
'x,y,z'
'-x,-y,-z'
'-y,x-y,z'
'y,-x+y,-z'
'-x+y,-x,z'
'x-y,x,-z'
loop_
_atom_site_label
_atom_site_fract_x
_atom_site_fract_y
_atom_site_fract_z
Ba1 0.1567 0.3146 0.2495
Ba2 0.3333 0.6667 0.7524
Cu1 0.3333 0.6667 0.2467
Au1 0.0000 0.0000 0.5000
```

Computed properties:
- Formation energy: -4 meV per atom
- Total magnetization: 0.00 μB per atom
- Final energy: -2.446 eV per atom
- DOS(E_F): 10.2 states/eV/cell



Entry 4:
Compound: Ba2Cu2Au
Source: Alexandria via LeMat-Bulk
Functional: PBE
Structure: optimized geometry

Geometry as CIF:
```
data_Ba2Cu2Au
_space_group_name_H-M_alt 'I 4/m m m'
_space_group_IT_number 139
_space_group_name_Hall '-I 4 2'
_cell_length_a 3.820
_cell_length_b 3.820
_cell_length_c 19.026
_cell_angle_alpha 90.00
_cell_angle_beta 90.00
_cell_angle_gamma 90.00
loop_
_atom_site_label
_atom_site_fract_x
_atom_site_fract_y
_atom_site_fract_z
Ba1 0.000 0.000 0.109
Cu1 0.000 0.500 0.250
Au1 0.000 0.000 0.500
```

Computed properties:
- Formation energy: -110 meV per atom
- Total magnetization: 0.00 μB per atom
- Final energy: -3.173 eV per atom
- DOS(E_F): 7.0 states/eV/cell
- Excess energy over the best structure of this formula in the dataset: 54 meV per atom



Entry 5:
Compound: Ba2CuAu3
Source: Alexandria via LeMat-Bulk
Functional: PBE
Structure: optimized geometry

Geometry as CIF:
```
data_Ba2CuAu3
_space_group_name_H-M_alt 'F m m m'
_space_group_IT_number 69
_space_group_name_Hall '-F 2 2'
_cell_length_a 8.741
_cell_length_b 9.527
_cell_length_c 16.480
_cell_angle_alpha 90.00
_cell_angle_beta 90.00
_cell_angle_gamma 90.00
loop_
_atom_site_label
_atom_site_fract_x
_atom_site_fract_y
_atom_site_fract_z
Ba1 0.246 0.000 0.000
Ba2 0.250 0.250 0.250
Cu1 0.000 0.000 0.333
Au1 0.000 0.000 0.174
Au2 0.000 0.237 0.413
```

Computed properties:
- Formation energy: -593 meV per atom
- Total magnetization: 0.00 μB per atom
- Final energy: -3.555 eV per atom
- DOS(E_F): 17.5 states/eV/cell



Entry 6:
Compound: Ba2CuAu
Source: Alexandria via LeMat-Bulk
Functional: PBE
Structure: optimized geometry

Geometry as CIF:
```
data_Ba2CuAu
_space_group_name_H-M_alt 'C 1 2/m 1'
_space_group_IT_number 12
_cell_length_a 8.168
_cell_length_b 4.724
_cell_length_c 8.238
_cell_angle_alpha 90.00
_cell_angle_beta 109.45
_cell_angle_gamma 90.00
loop_
_space_group_symop_operation_xyz
'x,y,z'
'-x,-y,-z'
'-x,y,-z'
'x,-y,z'
'x+1/2,y+1/2,z'
'-x+1/2,-y+1/2,-z'
'-x+1/2,y+1/2,-z'
'x+1/2,-y+1/2,z'
loop_
_atom_site_label
_atom_site_fract_x
_atom_site_fract_y
_atom_site_fract_z
Ba1 0.249 0.000 0.248
Cu1 0.000 0.500 0.000
Au1 0.000 0.000 0.500
```

Computed properties:
- Formation energy: -287 meV per atom
- Total magnetization: 0.00 μB per atom
- Final energy: -3.092 eV per atom
- DOS(E_F): 4.4 states/eV/cell
- Excess energy over the best structure of this formula in the dataset: 95 meV per atom



Entry 7:
Compound: Ba7CuAu4
Source: Alexandria via LeMat-Bulk
Functional: PBE
Structure: optimized geometry

Geometry as CIF:
```
data_Ba7CuAu4
_space_group_name_H-M_alt 'C 1 m 1'
_space_group_IT_number 8
_cell_length_a 15.684
_cell_length_b 4.630
_cell_length_c 14.225
_cell_angle_alpha 90.00
_cell_angle_beta 104.42
_cell_angle_gamma 90.00
loop_
_space_group_symop_operation_xyz
'x,y,z'
'x,-y,z'
'x+1/2,y+1/2,z'
'x+1/2,-y+1/2,z'
loop_
_atom_site_label
_atom_site_fract_x
_atom_site_fract_y
_atom_site_fract_z
Ba1 0.000 0.000 0.000
Ba2 0.020 0.500 0.283
Ba3 0.104 0.500 0.592
Ba4 0.219 0.000 0.858
Ba5 0.258 0.500 0.143
Ba6 0.298 0.000 0.424
Ba7 0.413 0.500 0.690
Cu1 0.142 0.000 0.217
Au1 0.057 0.500 0.828
Au2 0.259 0.000 0.641
Au3 0.376 0.000 0.067
Au4 0.461 0.500 0.454
```

Computed properties:
- Formation energy: -480 meV per atom
- Total magnetization: 0.00 μB per atom
- Final energy: -3.035 eV per atom
- DOS(E_F): 15.5 states/eV/cell



Entry 8:
Compound: Ba4Cu3Au
Source: Alexandria via LeMat-Bulk
Functional: PBE
Structure: optimized geometry

Geometry as CIF:
```
data_Ba4Cu3Au
_space_group_name_H-M_alt 'P m m 2'
_space_group_IT_number 25
_cell_length_a 4.604
_cell_length_b 4.631
_cell_length_c 12.714
_cell_angle_alpha 90.00
_cell_angle_beta 90.00
_cell_angle_gamma 90.00
loop_
_space_group_symop_operation_xyz
'x,y,z'
'-x,-y,z'
'-x,y,z'
'x,-y,z'
loop_
_atom_site_label
_atom_site_fract_x
_atom_site_fract_y
_atom_site_fract_z
Ba1 0.000 0.000 0.000
Ba2 0.000 0.500 0.498
Ba3 0.500 0.000 0.725
Ba4 0.500 0.500 0.226
Cu1 0.000 0.000 0.314
Cu2 0.500 0.000 0.409
Cu3 0.500 0.500 0.921
Au1 0.000 0.500 0.802
```

Computed properties:
- Formation energy: -190 meV per atom
- Total magnetization: 0.00 μB per atom
- Final energy: -3.097 eV per atom
- DOS(E_F): 6.3 states/eV/cell